Compound: CePdRh2
Source: Alexandria via LeMat-Bulk
Functional: meta-GGA SCAN
Structure: single point on PBEsol structure

Values from the calculation:
Formation energy, eV per atom: -0.69
M_tot, μB per cell: 0.00
Space-group type: No. 123
Crystal system: tetragonal

Cell: 3.9053 4.0742 4.0742 Å, 90.00 90.00 90.00°
With the nearest neighbours (Å) after each atom.
Element x y z (fractional)
Rh 0.5000 0.0000 0.5000  4 Pd 2.82, 4 Ce 2.82, 4 Rh 2.88
Rh 0.5000 0.5000 0.0000  4 Pd 2.82, 4 Ce 2.82, 4 Rh 2.88
Pd 0.0000 0.5000 0.5000  8 Rh 2.82, 4 Ce 2.88
Ce 0.0000 0.0000 0.0000  8 Rh 2.82, 4 Pd 2.88


Compound: RbInI2
Source: Alexandria via LeMat-Bulk
Functional: meta-GGA SCAN
Structure: single point on PBEsol structure

Values from the calculation:
Formation energy from raw total energies, kJ/mol of formula units: -346
M_tot, μB per cell: 0.00
E above lowest polymorph, meV/atom: 111
Space-group type: No. 122
Crystal system: tetragonal

Cell: 7.5466 7.5466 10.1021 Å, 111.93 111.93 90.00°
With the nearest neighbours (Å) after each atom.
Element x y z (fractional)
I 0.3463 0.8750 0.2500  2 In 3.31, 2 Rb 3.55
I 0.9037 0.3750 0.2500  2 In 3.31, 2 Rb 3.55
I 0.1250 0.0963 0.7500  2 In 3.31, 2 Rb 3.55
I 0.6250 0.6537 0.7500  2 In 3.31, 2 Rb 3.55
Rb 0.7500 0.2500 0.5000  4 I 3.55
Rb 0.5000 0.5000 0.0000  4 I 3.55
In 0.2500 0.7500 0.5000  4 I 3.31
In 0.0000 0.0000 0.0000  4 I 3.31